First-principles (PBEsol) data for an optimized crystal structure of PtOF2, as listed in Alexandria via LeMat-Bulk.

Cell and atoms, written as POSCAR:
```
PtOF2
1.0
-4.190 4.190 1.816
4.190 -4.190 1.816
4.190 4.190 -1.816
Pt O F
2 2 4
Cartesian
0.000 0.000 0.000
0.000 4.190 0.908
4.190 0.000 0.908
0.000 0.000 1.816
-0.011 2.095 0.454
2.095 4.179 1.362
0.011 6.285 0.454
-2.095 4.201 1.362
```

Values from the calculation:
Final energy in eV per atom: -4.622
D(E_F) in states/eV/cell: 4.3
E_form (uncorrected) in meV per atom: -605

=====

First-principles (PBEsol) data for an optimized crystal structure of PtRhOF2, as listed in Alexandria via LeMat-Bulk.

Cell and atoms, written as POSCAR:
```
PtRhOF2
1.0
4.327 0.000 0.000
0.000 4.327 0.000
0.000 0.000 3.736
Pt Rh O F
1 1 1 2
Cartesian
0.000 0.000 0.000
2.164 2.164 1.868
0.000 0.000 1.868
0.000 2.164 0.000
2.164 0.000 0.000
```

Values from the calculation:
Final energy in eV per atom: -4.657
D(E_F) in states/eV/cell: 9.8
E_form (uncorrected) in meV per atom: 184

=====

First-principles (PBEsol) data for an optimized crystal structure of PtSeOF2, as listed in Alexandria via LeMat-Bulk.

Cell and atoms, written as POSCAR:
```
PtSeOF2
1.0
4.314 0.000 0.000
0.000 4.314 0.000
0.000 0.000 3.726
Pt Se O F
1 1 1 2
Cartesian
0.000 0.000 0.000
2.157 2.157 1.863
2.157 2.157 0.000
0.000 2.157 1.863
2.157 0.000 1.863
```

Values from the calculation:
Final energy in eV per atom: -3.844
D(E_F) in states/eV/cell: 8.1
E_form (uncorrected) in meV per atom: 140

=====

First-principles (PBEsol) data for an optimized crystal structure of SiPtOF2, as listed in Alexandria via LeMat-Bulk.

Cell and atoms, written as POSCAR:
```
SiPtOF2
1.0
4.123 0.000 0.000
0.000 4.123 0.000
0.000 0.000 3.261
Si Pt O F
1 1 1 2
Cartesian
0.000 0.000 0.000
2.061 2.061 1.631
0.000 0.000 1.631
0.000 2.061 0.000
2.061 0.000 0.000
```

Values from the calculation:
Final energy in eV per atom: -5.192
D(E_F) in states/eV/cell: 5.0
E_form (uncorrected) in meV per atom: -829

=====

First-principles (PBEsol) data for an optimized crystal structure of SrPtOF2, as listed in Alexandria via LeMat-Bulk.

Cell and atoms, written as POSCAR:
```
SrPtOF2
1.0
4.463 0.000 0.000
0.000 4.463 0.000
0.000 0.000 4.755
Sr Pt O F
1 1 1 2
Cartesian
0.000 0.000 0.000
2.232 2.232 2.378
0.000 0.000 2.378
0.000 2.232 0.000
2.232 0.000 0.000
```

Values from the calculation:
Final energy in eV per atom: -4.361
D(E_F) in states/eV/cell: 6.1
E_form (uncorrected) in meV per atom: -780

=====

First-principles (PBEsol) data for an optimized crystal structure of TaPtO2F, as listed in Alexandria via LeMat-Bulk.

Cell and atoms, written as POSCAR:
```
TaPtO2F
1.0
3.933 0.000 0.000
0.000 3.933 0.000
0.000 0.000 4.071
Ta Pt O F
1 1 2 1
Cartesian
0.000 0.000 0.000
1.966 1.966 2.036
0.000 1.966 0.000
1.966 0.000 0.000
0.000 0.000 2.036
```

Values from the calculation:
Final energy in eV per atom: -7.674
D(E_F) in states/eV/cell: 4.1
E_form (uncorrected) in meV per atom: -1285

=====

First-principles (PBEsol) data for an optimized crystal structure of TcPtO2F, as listed in Alexandria via LeMat-Bulk.

Cell and atoms, written as POSCAR:
```
TcPtO2F
1.0
3.755 0.000 0.000
0.000 3.755 0.000
0.000 0.000 4.213
Tc Pt O F
1 1 2 1
Cartesian
0.000 0.000 0.000
1.877 1.877 2.106
0.000 1.877 0.000
1.877 0.000 0.000
0.000 0.000 2.106
```

Values from the calculation:
Final energy in eV per atom: -6.495
D(E_F) in states/eV/cell: 5.8
E_form (uncorrected) in meV per atom: -364

=====

First-principles (PBEsol) data for an optimized crystal structure of TcPtOF2, as listed in Alexandria via LeMat-Bulk.

Cell and atoms, written as POSCAR:
```
TcPtOF2
1.0
4.385 0.000 0.000
0.000 4.385 0.000
0.000 0.000 3.787
Tc Pt O F
1 1 1 2
Cartesian
0.000 0.000 0.000
2.192 2.192 1.893
2.192 2.192 0.000
0.000 2.192 1.893
2.192 0.000 1.893
```

Values from the calculation:
Final energy in eV per atom: -5.235
D(E_F) in states/eV/cell: 4.0
E_form (uncorrected) in meV per atom: 232

=====

First-principles (PBEsol) data for an optimized crystal structure of PuOF, as listed in Alexandria via LeMat-Bulk.

Cell and atoms, written as POSCAR:
```
PuOF
1.0
3.900 0.000 0.000
0.000 3.900 0.000
0.000 0.000 5.631
Pu O F
2 2 2
Cartesian
0.975 0.975 1.191
2.925 2.925 4.440
0.975 2.925 0.000
2.925 0.975 0.000
0.975 2.925 2.816
2.925 0.975 2.816
```

Values from the calculation:
Final energy in eV per atom: -10.605
D(E_F) in states/eV/cell: 10.4
E_form (uncorrected) in meV per atom: -3161

=====

First-principles (PBEsol) data for an optimized crystal structure of Rb2O2F, as listed in Alexandria via LeMat-Bulk.

Cell and atoms, written as POSCAR:
```
Rb2O2F
1.0
7.410 0.000 0.000
0.000 7.410 0.000
0.000 0.000 3.920
Rb O F
4 4 2
Cartesian
1.541 2.164 0.000
2.164 5.870 0.000
5.246 1.541 0.000
5.870 5.246 0.000
0.477 4.182 1.960
3.229 0.477 1.960
4.182 6.934 1.960
6.934 3.229 1.960
0.000 0.000 0.000
3.705 3.705 0.000
```

Values from the calculation:
Final energy in eV per atom: -4.371
D(E_F) in states/eV/cell: 10.9
E_form (uncorrected) in meV per atom: -1476

=====

First-principles (PBEsol) data for an optimized crystal structure of RbSO2F, as listed in Alexandria via LeMat-Bulk.

Cell and atoms, written as POSCAR:
```
RbSO2F
1.0
4.716 0.000 0.000
0.000 5.922 0.000
-2.013 0.000 6.798
Rb S O F
2 2 4 2
Cartesian
0.174 1.480 1.959
2.529 4.441 4.839
0.231 1.480 5.599
2.473 4.441 1.199
0.167 0.262 4.768
0.167 2.699 4.768
2.537 3.223 2.030
2.537 5.660 2.030
0.713 4.441 0.832
1.990 1.480 5.966
```

Values from the calculation:
Final energy in eV per atom: -5.403
D(E_F) in states/eV/cell: 0.0
E_form (uncorrected) in meV per atom: -1836

=====

First-principles (PBEsol) data for an optimized crystal structure of RbSeO2F, as listed in Alexandria via LeMat-Bulk.

Cell and atoms, written as POSCAR:
```
RbSeO2F
1.0
3.900 0.000 0.000
0.000 3.900 0.000
0.000 0.000 4.600
Rb Se O F
1 1 2 1
Cartesian
0.000 0.000 0.000
1.950 1.950 2.300
0.000 1.950 2.300
1.950 0.000 2.300
1.950 1.950 0.000
```

Values from the calculation:
Final energy in eV per atom: -4.700
D(E_F) in states/eV/cell: 0.4
E_form (uncorrected) in meV per atom: -1240